1.
Dy2HoTm5Zr: relaxed, PBE-GGA.

Cell lengths 10.4485, 10.4485, 9.8812 Å; angles 90.00, 90.00, 149.74 degrees
Fractional positions:
Dy1 0.1104 0.8896 0.5000
Dy2 0.1211 0.8789 0.9200
Dy3 0.8789 0.1211 0.4200
Dy4 0.8896 0.1104 0.0000
Ho1 0.4036 0.5964 0.6334
Ho2 0.5964 0.4036 0.1334
Tm1 0.0161 0.9839 0.2021
Tm2 0.2663 0.7337 0.5227
Tm3 0.3004 0.6996 0.8889
Tm4 0.3671 0.6329 0.2115
Tm5 0.4813 0.5187 0.9266
Tm6 0.5187 0.4813 0.4266
Tm7 0.6329 0.3671 0.7115
Tm8 0.6996 0.3004 0.3889
Tm9 0.7337 0.2663 0.0227
Tm10 0.9839 0.0161 0.7021
Zr1 0.1897 0.8103 0.2078
Zr2 0.8103 0.1897 0.7078

Symmetry: No. 36
Calculated density: 8.7 g/cm3
Formation enthalpy at 0 K: 0.18 eV/atom
Calculated total energy: -4.79 eV per atom

---

2.
YPPdCl2: relaxed, PBE-GGA.

Cell lengths 5.1460, 5.1460, 5.6442 Å; angles 90.00, 90.00, 90.00 degrees
Fractional positions:
Y1 0.0000 0.0000 0.0000
P1 0.0000 0.0000 0.5000
Pd1 0.5000 0.5000 0.5000
Cl1 0.0000 0.5000 0.0000
Cl2 0.5000 0.0000 0.0000

Energy above the lowest structure with this stoichiometry: 11.37 kJ/mol of atoms
Symmetry: No. 123
Formation energy from raw total energies: -1.90 eV per formula unit
Calculated density: 3.3 g/cm3
Calculated total energy: -4.53 eV per atom

---

3.
Tb2Pm6NdTm3: relaxed, PBE-GGA.

Cell lengths 6.2428, 6.2428, 11.8454 Å; angles 95.02, 95.02, 120.00 degrees
Fractional positions:
Tb1 0.1665 0.8335 0.0000
Tb2 0.8335 0.1665 0.0000
Pm1 0.0812 0.4151 0.7467
Pm2 0.2511 0.2511 0.2533
Pm3 0.4151 0.0812 0.7467
Pm4 0.5849 0.9188 0.2533
Pm5 0.7489 0.7489 0.7467
Pm6 0.9188 0.5849 0.2533
Nd1 0.5000 0.5000 0.0000
Tm1 0.0000 0.0000 0.5000
Tm2 0.3331 0.6669 0.5000
Tm3 0.6669 0.3331 0.5000

Symmetry: No. 12
Calculated density: 7.8 g/cm3
Formation enthalpy at 0 K: 0.02 eV/atom
Calculated total energy: -4.65 eV per atom

---

4.
AcPr4Tl2: relaxed, PBE-GGA.

Cell lengths 8.4862, 6.8655, 9.2134 Å; angles 90.00, 115.52, 90.00 degrees
Fractional positions:
Ac1 0.1062 0.2500 0.3425
Ac2 0.8938 0.7500 0.6575
Pr1 0.1846 0.7500 0.0876
Pr2 0.3496 0.0042 0.7786
Pr3 0.3496 0.4958 0.7786
Pr4 0.4480 0.7500 0.4963
Pr5 0.5520 0.2500 0.5037
Pr6 0.6504 0.5042 0.2214
Pr7 0.6504 0.9958 0.2214
Pr8 0.8154 0.2500 0.9124
Tl1 0.0350 0.7500 0.3730
Tl2 0.2631 0.2500 0.0565
Tl3 0.7369 0.7500 0.9435
Tl4 0.9650 0.2500 0.6270

Energy above the lowest structure with this stoichiometry: 0.00 kJ/mol of atoms
Symmetry: No. 11
Calculated density: 8.2 g/cm3
Formation enthalpy at 0 K: -0.13 eV/atom
Calculated total energy: -4.13 eV per atom

---

5.
CrPt2Se: relaxed, PBE-GGA.

Cell lengths 4.5770, 4.5770, 6.2317 Å; angles 101.09, 101.09, 35.17 degrees
Fractional positions:
Cr1 0.0000 0.0000 0.0000
Pt1 0.2583 0.2583 0.8625
Pt2 0.4982 0.4982 0.6399
Se1 0.6206 0.6206 0.3080

Symmetry: No. 8
Formation energy from raw total energies: 0.23 eV per formula unit
Calculated density: 11.7 g/cm3
Calculated total energy: -6.24 eV per atom

---

6.
K3TbPr2O6: relaxed, PBE-GGA.

Cell lengths 6.2740, 6.2740, 6.6417 Å; angles 99.05, 99.05, 120.01 degrees
Fractional positions:
K1 0.0000 0.0000 0.0000
K2 0.3358 0.6642 0.0000
K3 0.6642 0.3358 0.0000
Tb1 0.5000 0.5000 0.5000
Pr1 0.1667 0.8333 0.5000
Pr2 0.8333 0.1667 0.5000
O1 0.1141 0.4366 0.3097
O2 0.2407 0.2407 0.6897
O3 0.4366 0.1141 0.3097
O4 0.5634 0.8859 0.6903
O5 0.7593 0.7593 0.3103
O6 0.8859 0.5634 0.6903

Symmetry: No. 12
Formation energy from raw total energies: -31.54 eV per formula unit
Calculated density: 5.1 g/cm3
Calculated total energy: -6.56 eV per atom

---

7.
KTcAg: relaxed, PBE-GGA.

Cell lengths 6.5363, 6.5363, 6.5363 Å; angles 156.21, 138.99, 47.96 degrees
Fractional positions:
K1 0.0000 0.0000 0.0000
Tc1 0.7186 0.7186 0.0000
Ag1 0.2840 0.2840 0.0000

Energy above the lowest structure with this stoichiometry: 0.00 kJ/mol of atoms
Symmetry: No. 44
Calculated density: 5.5 g/cm3
Formation enthalpy at 0 K: 0.93 eV/atom
Calculated total energy: -3.84 eV per atom

---

8.
InPdPt3: relaxed, PBE-GGA.

Cell lengths 4.9052, 4.9052, 4.9052 Å; angles 90.00, 90.00, 90.00 degrees
Fractional positions:
In1 0.0000 0.0000 0.0000
Pd1 0.5000 0.5000 0.5000
Pt1 0.0000 0.0000 0.5000
Pt2 0.0000 0.5000 0.0000
Pt3 0.5000 0.0000 0.0000

Energy above the lowest structure with this stoichiometry: 150.95 kJ/mol of atoms
Symmetry: No. 221
Calculated density: 11.3 g/cm3
Formation enthalpy at 0 K: 1.25 eV/atom
Calculated total energy: -3.96 eV per atom

---

Please write out number 6 again, unchanged.
K3TbPr2O6: relaxed, PBE-GGA.

Cell lengths 6.2740, 6.2740, 6.6417 Å; angles 99.05, 99.05, 120.01 degrees
Fractional positions:
K1 0.0000 0.0000 0.0000
K2 0.3358 0.6642 0.0000
K3 0.6642 0.3358 0.0000
Tb1 0.5000 0.5000 0.5000
Pr1 0.1667 0.8333 0.5000
Pr2 0.8333 0.1667 0.5000
O1 0.1141 0.4366 0.3097
O2 0.2407 0.2407 0.6897
O3 0.4366 0.1141 0.3097
O4 0.5634 0.8859 0.6903
O5 0.7593 0.7593 0.3103
O6 0.8859 0.5634 0.6903

Symmetry: No. 12
Formation energy from raw total energies: -31.54 eV per formula unit
Calculated density: 5.1 g/cm3
Calculated total energy: -6.56 eV per atom